The following is a GGA-PBE calculation of a geometry-optimized AlTe3S structure, from Alexandria.

POSCAR file:
```
AlTe3S
1.0
5.264 0.000 0.000
0.000 5.264 0.000
0.000 0.000 5.264
Al Te S
1 3 1
Direct
0.000 0.000 0.000
0.000 0.000 0.500
0.000 0.500 0.000
0.500 0.000 0.000
0.500 0.500 0.500
```

* energy relative to the elements, uncorrected: 0.601 eV per atom
* energy: -14.29 eV/f.u.
* energy above the lowest structure with this stoichiometry: 93.4 meV per atom